VASP calculation (PBE-GGA) on crystalline MnAgOs2 at its relaxed geometry.

Values from the calculation:
Volume, Å³ per cell: 58
Space group: I4/mmm (139)
Total moment, μB/f.u.: 1.7
Relative energy among the computed polymorphs, eV per atom: 0.3044

a = 4.813 Å, b = 4.813 Å, c = 4.813 Å
α = 133.12°, β = 133.12°, γ = 68.46°
Sites, in units of the cell vectors:
1 Ag 0.250 0.750 0.500
2 Mn 0.750 0.250 0.500
3 Os 0.000 0.000 0.000
4 Os 0.500 0.500 0.000